A plane-wave DFT calculation with PBE was carried out for crystalline ZnReCl2 at its relaxed geometry.

Computed properties:
Size of the total moment, μB per formula unit: 4.85
Electronic total energy, Ry per atom: -0.239
Energy above the most stable polymorph in this dataset, eV per formula unit: 4.46
Symmetry: F-43m (216)
DOS at the Fermi energy, states/eV/atom: 0.65
Uncorrected formation energy, eV per atom: 1.0964

a = 6.841 Å, b = 6.841 Å, c = 6.841 Å
α = 90.00°, β = 90.00°, γ = 90.00°
Fractional coordinates of all 16 atoms:
Zn: 0.000 0.000 0.000
Zn: 0.000 0.500 0.500
Zn: 0.500 0.000 0.500
Zn: 0.500 0.500 0.000
Re: 0.250 0.250 0.750
Re: 0.250 0.750 0.250
Re: 0.750 0.250 0.250
Re: 0.750 0.750 0.750
Cl: 0.000 0.000 0.500
Cl: 0.000 0.500 0.000
Cl: 0.250 0.250 0.250
Cl: 0.250 0.750 0.750
Cl: 0.500 0.000 0.000
Cl: 0.500 0.500 0.500
Cl: 0.750 0.250 0.750
Cl: 0.750 0.750 0.250